BeAlCo2H | PBE | relaxed

As for the uncorrected energy: -5.29 eV/atom. For the spin magnetization, the calculation gives 0.00 Bohr magnetons per cell.

The structure belongs to space group P4/mmm (No. 123); the cell edges are 3.716, 3.716 and 3.141 Å and the angles 90.00°, 90.00° and 90.00°. The distinct sites, in fractional coordinates, are Be at (0.000, 0.000, 0.000), Al at (0.500, 0.500, 0.000), Co at (0.000, 0.500, 0.500) and H at (0.000, 0.000, 0.500).

ReTcW2 | PBE | relaxed

As for the uncorrected energy: -11.98 eV/atom. For the spin magnetization, the calculation gives 0.00 Bohr magnetons per cell.

The structure belongs to space group Cm (No. 8); the cell edges are 9.353, 2.800 and 4.837 Å and the angles 90.00°, 99.73° and 90.00°. The distinct sites, in fractional coordinates, are Re at (0.000, 0.000, 0.000), Tc at (0.238, 0.500, 0.248), W at (0.249, 0.000, 0.758) and W at (0.488, 0.000, 0.489).

LaTbTm2Au4 | PBE | relaxed

As for the uncorrected energy: -4.79 eV/atom. For the spin magnetization, the calculation gives 0.00 Bohr magnetons per cell.

The structure belongs to space group R-3m (No. 166, hexagonal axes); the cell edges are 5.0822, 5.0822 and 25.7895 Å and the angles 90.00°, 90.00° and 120.00°. The distinct sites, in fractional coordinates, are La at (0.0000, 0.0000, 0.0000), Tb at (0.0000, 0.0000, 0.5000), Tm at (0.0000, 0.0000, 0.2476), Au at (0.0000, 0.0000, 0.1278) and Au at (0.0000, 0.0000, 0.3836).

Zr3Pa5 | PBE | relaxed

As for the uncorrected energy: -9.10 eV/atom. For the spin magnetization, the calculation gives 0.00 Bohr magnetons per cell.

The structure belongs to space group P4/mmm (No. 123); the cell edges are 3.207, 3.207 and 19.037 Å and the angles 90.00°, 90.00° and 90.00°. The distinct sites, in fractional coordinates, are Zr at (0.000, 0.000, 0.000), Zr at (0.500, 0.500, 0.121), Pa at (0.000, 0.000, 0.245), Pa at (0.000, 0.000, 0.500) and Pa at (0.500, 0.500, 0.372).

TbPm4 | PBE | relaxed

As for the uncorrected energy: -4.71 eV/atom. For the spin magnetization, the calculation gives 0.00 Bohr magnetons per cell.

The structure belongs to space group I4/mmm (No. 139); the cell edges are 3.634, 3.634 and 25.698 Å and the angles 90.00°, 90.00° and 90.00°. The distinct sites, in fractional coordinates, are Tb at (0.000, 0.000, 0.000), Pm at (0.000, 0.000, 0.199) and Pm at (0.000, 0.000, 0.401).

RbNi4As2 | PBE | relaxed

As for the uncorrected energy: -5.02 eV/atom. For the spin magnetization, the calculation gives 0.00 Bohr magnetons per cell.

The structure belongs to space group Cmmm (No. 65); the cell edges are 3.771, 18.351 and 3.650 Å and the angles 90.00°, 90.00° and 90.00°. The distinct sites, in fractional coordinates, are Rb at (0.000, 0.000, 0.000), Ni at (0.000, 0.202, 0.500), Ni at (0.000, 0.295, 0.000) and As at (0.000, 0.373, 0.500).

La2Pt2Br | PBE | relaxed

As for the uncorrected energy: -5.97 eV/atom. For the uncorrected formation energy, the calculation gives -1.246 eV/atom. For the spin magnetization, the calculation gives 0.00 Bohr magnetons per cell.

The structure belongs to space group P4/mbm (No. 127); the cell edges are 8.285, 8.285 and 3.815 Å and the angles 90.00°, 90.00° and 90.00°. The distinct sites, in fractional coordinates, are La at (0.171, 0.329, 0.000), Pt at (0.123, 0.623, 0.500) and Br at (0.000, 0.000, 0.000).

NbRuPt2 | PBE | relaxed

As for the uncorrected energy: -7.93 eV/atom. For the spin magnetization, the calculation gives 1.36 Bohr magnetons per cell.

The structure belongs to space group Fm-3m (No. 225); the cell edges are 6.363, 6.363 and 6.363 Å and the angles 90.00°, 90.00° and 90.00°. The distinct sites, in fractional coordinates, are Nb at (0.000, 0.000, 0.000), Ru at (0.000, 0.000, 0.500) and Pt at (0.250, 0.250, 0.250).

GaSnTeOs2 | PBE | relaxed

As for the uncorrected energy: -4.94 eV/atom. For the uncorrected formation energy, the calculation gives 1.581 eV/atom. For the spin magnetization, the calculation gives 2.51 Bohr magnetons per cell.

The structure belongs to space group P4/mmm (No. 123); the cell edges are 4.722, 4.722 and 5.121 Å and the angles 90.00°, 90.00° and 90.00°. The distinct sites, in fractional coordinates, are Ga at (0.000, 0.000, 0.000), Sn at (0.500, 0.500, 0.500), Te at (0.000, 0.000, 0.500) and Os at (0.000, 0.500, 0.000).

SiSbRu4 | PBE | relaxed

As for the uncorrected energy: -7.21 eV/atom. For the uncorrected formation energy, the calculation gives 0.569 eV/atom. For the spin magnetization, the calculation gives 0.01 Bohr magnetons per cell.

The structure belongs to space group F-43m (No. 216); the cell edges are 7.313, 7.313 and 7.313 Å and the angles 90.00°, 90.00° and 90.00°. The distinct sites, in fractional coordinates, are Si at (0.000, 0.000, 0.000), Sb at (0.250, 0.250, 0.250) and Ru at (0.125, 0.125, 0.625).

RbRuPb2W | PBE | relaxed

As for the uncorrected energy: -4.31 eV/atom. For the spin magnetization, the calculation gives 5.23 Bohr magnetons per cell.

The structure belongs to space group P4/mmm (No. 123); the cell edges are 5.418, 5.418 and 6.296 Å and the angles 90.00°, 90.00° and 90.00°. The distinct sites, in fractional coordinates, are Rb at (0.000, 0.000, 0.000), Ru at (0.500, 0.500, 0.000), Pb at (0.000, 0.500, 0.500) and W at (0.000, 0.000, 0.500).

PrZn7Co5 | PBE | relaxed

As for the uncorrected energy: -3.91 eV/atom. For the spin magnetization, the calculation gives 10.68 Bohr magnetons per cell.

The structure belongs to space group Imm2 (No. 44); the cell edges are 4.945, 8.654 and 8.703 Å and the angles 90.00°, 90.00° and 90.00°. The distinct sites, in fractional coordinates, are Pr at (0.000, 0.000, 0.000), Zn at (0.000, 0.000, 0.338), Zn at (0.000, 0.000, 0.652), Zn at (0.000, 0.280, 0.489), Zn at (0.000, 0.348, 0.982), Zn at (0.000, 0.500, 0.259), Co at (0.000, 0.500, 0.724) and Co at (0.247, 0.245, 0.236).